Computed, not measured: a PBEsol-optimized structure of Re3Tc at the meta-GGA SCAN level of DFT.

Properties
space-group type	Pm-3m, No. 221
ΔH_f (0 K)	41.9	meV/atom
calculated density	18.80	g cm⁻³
spin magnetization	0.00	μB/cell
energy above the most stable polymorph in this dataset	51	meV per atom

Lattice parameters (Å, degrees): 3.8710 3.8710 3.8710 90.00 90.00 90.00
Closest atoms and distances in Å follow each position.
Sites, in units of the cell vectors:
Re 0.0000 0.5000 0.0000  4 Tc 2.74, 8 Re 2.74
Re 0.0000 0.0000 0.5000  4 Tc 2.74, 8 Re 2.74
Re 0.5000 0.0000 0.0000  4 Tc 2.74, 8 Re 2.74
Tc 0.5000 0.5000 0.5000  12 Re 2.74

Computed, not measured: a PBEsol-optimized structure of ReTc3 at the meta-GGA SCAN level of DFT.

Properties
space-group type	Cmmm, No. 65
ΔH_f (0 K)	47.9	meV/atom
calculated density	14.06	g cm⁻³
spin magnetization	0.00	μB/cell
energy above the most stable polymorph in this dataset	65	meV per atom

Lattice parameters (Å, degrees): 2.7162 4.7093 4.7094 109.65 90.00 90.00
Closest atoms and distances in Å follow each position.
Sites, in units of the cell vectors:
Tc 0.5000 0.0000 0.5000  8 Tc 2.71-2.72, 4 Re 2.72
Tc 0.5000 0.5000 0.0000  8 Tc 2.71-2.72, 4 Re 2.72
Tc 0.0000 0.5000 0.5000  2 Re 2.71, 10 Tc 2.72
Re 0.0000 0.0000 0.0000  10 Tc 2.71-2.72, 2 Re 2.72

Computed, not measured: a PBEsol-optimized structure of ReTc2 at the meta-GGA SCAN level of DFT.

Properties
space-group type	C2/m, No. 12
ΔH_f (0 K)	-5.3	meV/atom
calculated density	14.93	g cm⁻³
spin magnetization	0.00	μB/cell
energy above the most stable polymorph in this dataset	2	meV per atom

Lattice parameters (Å, degrees): 2.7305 5.1668 6.4532 103.92 90.00 105.32
Closest atoms and distances in Å follow each position.
Sites, in units of the cell vectors:
Re 0.9712 0.9423 0.1943  9 Tc 2.68-2.74, 3 Re 2.71-2.73
Re 0.0288 0.0577 0.8057  9 Tc 2.68-2.74, 3 Re 2.71-2.73
Tc 0.3600 0.7200 0.4733  8 Tc 2.68-2.73, 4 Re 2.71-2.74
Tc 0.3048 0.6097 0.8613  5 Re 2.68-2.73, 7 Tc 2.69-2.73
Tc 0.6952 0.3903 0.1387  5 Re 2.68-2.73, 7 Tc 2.69-2.73
Tc 0.6400 0.2800 0.5267  8 Tc 2.68-2.73, 4 Re 2.71-2.74

Computed, not measured: a PBEsol-optimized structure of Re2Tc at the meta-GGA SCAN level of DFT.

Properties
space-group type	P-3m1, No. 164
ΔH_f (0 K)	45.2	meV/atom
calculated density	18.01	g cm⁻³
spin magnetization	0.00	μB/cell
energy above the most stable polymorph in this dataset	53	meV per atom

Lattice parameters (Å, degrees): 2.7345 2.7345 6.6966 90.00 90.00 120.00
Closest atoms and distances in Å follow each position.
Sites, in units of the cell vectors:
Re 0.3333 0.6667 0.6687  3 Tc 2.72, 9 Re 2.73-2.76
Re 0.6667 0.3333 0.3313  3 Tc 2.72, 9 Re 2.73-2.76
Tc 0.0000 0.0000 0.0000  6 Re 2.72, 6 Tc 2.73